one.
The following is a DFT calculation (GGA-PBE) of crystalline Sm8CdAg2 at its relaxed geometry.

The volume comes out at 651.86 Å³ per cell. For the density of states at the Fermi level, the calculation gives 24.71 states/eV per cell.

The space group is C2/m (No. 12) and the conventional cell measures 16.322, 5.425 and 8.557 Å, with angles of 90.00, 120.64 and 90.00 degrees. The distinct sites, in fractional coordinates, are Sm at (0.069, 0.000, 0.224), Sm at (0.098, 0.500, 0.958), Sm at (0.141, 0.000, 0.698), Sm at (0.183, 0.500, 0.457), Cd at (0.000, 0.500, 0.500) and Ag at (0.226, 0.000, 0.122).

---

two.
The following is a DFT calculation (GGA-PBE) of crystalline Sm8CdAg2 at its relaxed geometry.

The volume comes out at 664.35 Å³ per cell. For the density of states at the Fermi level, the calculation gives 22.86 states/eV per cell.

The space group is C2/m (No. 12) and the conventional cell measures 18.222, 5.286 and 7.241 Å, with angles of 90.00, 107.71 and 90.00 degrees. The distinct sites, in fractional coordinates, are Sm at (0.028, 0.000, 0.266), Sm at (0.092, 0.500, 0.966), Sm at (0.171, 0.500, 0.474), Sm at (0.193, 0.000, 0.810), Cd at (0.000, 0.500, 0.500) and Ag at (0.184, 0.000, 0.211).

---

Most stable: one (next structure +12 meV per atom)

---

one.
The following is a DFT calculation (GGA-PBE) of crystalline SmCd3Ag3 at its relaxed geometry.

The volume comes out at 412.31 Å³ per cell. For the density of states at the Fermi level, the calculation gives 8.64 states/eV per cell.

The space group is Pm-3n (No. 223) and the conventional cell measures 7.443, 7.443 and 7.443 Å, with angles of 90.00, 90.00 and 90.00 degrees. The distinct sites, in fractional coordinates, are Sm at (0.000, 0.000, 0.000), Cd at (0.000, 0.250, 0.500) and Ag at (0.000, 0.500, 0.250).

---

two.
The following is a DFT calculation (GGA-PBE) of crystalline SmCd3Ag3 at its relaxed geometry.

The volume comes out at 933.44 Å³ per cell. For the density of states at the Fermi level, the calculation gives 15.19 states/eV per cell.

The space group is R-3 (No. 148, hexagonal axes) and the conventional cell measures 7.4061, 7.4061 and 19.6507 Å, with angles of 90.00, 90.00 and 120.00 degrees. The distinct sites, in fractional coordinates, are Sm at (0.0000, 0.0000, 0.1558), Cd at (0.0439, 0.6041, 0.3753) and Ag at (0.0064, 0.7751, 0.5600).

---

three.
The following is a DFT calculation (GGA-PBE) of crystalline SmCd3Ag3 at its relaxed geometry.

The volume comes out at 2220.84 Å³ per cell. For the density of states at the Fermi level, the calculation gives 60.36 states/eV per cell.

The space group is Fm-3m (No. 225) and the conventional cell measures 13.047, 13.047 and 13.047 Å, with angles of 90.00, 90.00 and 90.00 degrees. The distinct sites, in fractional coordinates, are Sm at (0.250, 0.250, 0.250), Cd at (0.000, 0.000, 0.157) and Ag at (0.000, 0.000, 0.352).

---

Most stable: two (next structure +560 meV per atom)

---

one.
The following is a DFT calculation (GGA-PBE) of crystalline SrSmCdAg at its relaxed geometry.

The volume comes out at 116.05 Å³ per cell. For the density of states at the Fermi level, the calculation gives 3.28 states/eV per cell.

The space group is P4mm (No. 99) and the conventional cell measures 3.863, 3.863 and 7.776 Å, with angles of 90.00, 90.00 and 90.00 degrees. The distinct sites, in fractional coordinates, are Sr at (0.000, 0.000, 0.000), Sm at (0.000, 0.000, 0.484), Cd at (0.500, 0.500, 0.717) and Ag at (0.500, 0.500, 0.276).

---

two.
The following is a DFT calculation (GGA-PBE) of crystalline SrSmCdAg at its relaxed geometry.

The volume comes out at 460.13 Å³ per cell. For the density of states at the Fermi level, the calculation gives 12.44 states/eV per cell.

The space group is F-43m (No. 216) and the conventional cell measures 7.720, 7.720 and 7.720 Å, with angles of 90.00, 90.00 and 90.00 degrees. The distinct sites, in fractional coordinates, are Sr at (0.000, 0.000, 0.000), Sm at (0.000, 0.000, 0.500), Cd at (0.250, 0.250, 0.250) and Ag at (0.250, 0.250, 0.750).

---

Most stable: one (next structure +52 meV per atom)

---

one.
The following is a DFT calculation (GGA-PBE) of crystalline CdAg3Sn at its relaxed geometry.

The volume comes out at 199.28 Å³ per cell. For the density of states at the Fermi level, the calculation gives 2.50 states/eV per cell.

The space group is P2_1/m (No. 11) and the conventional cell measures 5.133, 4.907 and 8.317 Å, with angles of 90.00, 107.94 and 90.00 degrees. The distinct sites, in fractional coordinates, are Cd at (0.188, 0.250, 0.017), Ag at (0.230, 0.750, 0.811), Ag at (0.379, 0.250, 0.398), Ag at (0.439, 0.750, 0.202) and Sn at (0.033, 0.750, 0.391).

---

two.
The following is a DFT calculation (GGA-PBE) of crystalline CdAg3Sn at its relaxed geometry.

The volume comes out at 405.12 Å³ per cell. For the density of states at the Fermi level, the calculation gives 6.06 states/eV per cell.

The space group is P2_1/c (No. 14) and the conventional cell measures 7.130, 7.213 and 9.860 Å, with angles of 90.00, 126.97 and 90.00 degrees. The distinct sites, in fractional coordinates, are Cd at (0.179, 0.171, 0.034), Ag at (0.038, 0.616, 0.284), Ag at (0.209, 0.590, 0.048), Ag at (0.421, 0.137, 0.868) and Sn at (0.360, 0.621, 0.817).

---

three.
The following is a DFT calculation (GGA-PBE) of crystalline CdAg3Sn at its relaxed geometry.

The volume comes out at 144.68 Å³ per cell. For the density of states at the Fermi level, the calculation gives 2.18 states/eV per cell.

The space group is Pm-3m (No. 221) and the conventional cell measures 5.250, 5.250 and 5.250 Å, with angles of 90.00, 90.00 and 90.00 degrees. The distinct sites, in fractional coordinates, are Cd at (0.000, 0.000, 0.000), Ag at (0.000, 0.500, 0.500) and Sn at (0.500, 0.500, 0.500).

---

Most stable: one (next structure +42 meV per atom)

---

one.
The following is a DFT calculation (GGA-PBE) of crystalline Cd2Ag2Sn at its relaxed geometry.

The volume comes out at 218.15 Å³ per cell. For the density of states at the Fermi level, the calculation gives 3.28 states/eV per cell.

The space group is P4/mbm (No. 127) and the conventional cell measures 8.397, 8.397 and 3.094 Å, with angles of 90.00, 90.00 and 90.00 degrees. The distinct sites, in fractional coordinates, are Cd at (0.127, 0.373, 0.000), Ag at (0.170, 0.670, 0.500) and Sn at (0.000, 0.000, 0.000).

---

two.
The following is a DFT calculation (GGA-PBE) of crystalline Cd2Ag2Sn at its relaxed geometry.

The volume comes out at 229.88 Å³ per cell. For the density of states at the Fermi level, the calculation gives 3.72 states/eV per cell.

The space group is I4/mmm (No. 139) and the conventional cell measures 3.980, 3.980 and 14.512 Å, with angles of 90.00, 90.00 and 90.00 degrees. The distinct sites, in fractional coordinates, are Cd at (0.000, 0.000, 0.103), Ag at (0.000, 0.500, 0.250) and Sn at (0.000, 0.000, 0.500).

---

Most stable: one (next structure +66 meV per atom)